{
  "formula": "NbReAu",
  "functional": "GGA-PBE",
  "state": "optimized geometry",
  "m_tot_mub_per_cell": 0.000,
  "ef_mev_per_atom": 208,
  "cell": [[3.9968, -2.3502, 0.0000], [3.9968, 2.3502, 0.0000], [-0.1576, 0.0000, 5.3812]],
  "species": ["Nb", "Nb", "Re", "Re", "Au", "Au"],
  "frac_coords": [[0.1666, 0.1666, 0.4201], [0.8334, 0.8334, 0.5799], [0.1678, 0.1678, 0.9333], [0.8322, 0.8322, 0.0667], [0.4983, 0.4983, 0.2502], [0.5017, 0.5017, 0.7498]]
}